First-principles (GGA-PBE) data for a relaxed structure of CaThNiHg, as listed in Alexandria via LeMat-Bulk.

Calculated values
The raw total energy comes out at -16.19 eV for the cell shown. The calculation puts the density of states at the Fermi level at 3.97 states/eV/f.u. The formation energy comes out at -0.683 eV per formula unit. Its total magnetization is 0.000 μB/atom. The value obtained for the volume is 97.7 Å³/f.u.

Cell and atoms, written as CIF:
```
data_CaThNiHg
_cell_length_a 5.169
_cell_length_b 5.169
_cell_length_c 5.169
_cell_angle_alpha 60.00
_cell_angle_beta 60.00
_cell_angle_gamma 60.00
_symmetry_space_group_name_H-M 'P 1'
_symmetry_Int_Tables_number 1
_symmetry_space_group_name_Hall 'P 1'
loop_
_atom_site_label
_atom_site_type_symbol
_atom_site_fract_x
_atom_site_fract_y
_atom_site_fract_z
Ni1 Ni 0.500 0.500 0.500
Ca1 Ca 0.250 0.250 0.250
Hg1 Hg 0.000 0.000 0.000
Th1 Th 0.750 0.750 0.750
```



First-principles (GGA-PBE) data for a relaxed structure of LiGa2Ru, as listed in Alexandria via LeMat-Bulk.

Calculated values
The raw total energy comes out at -18.04 eV for the cell shown. The calculation puts the density of states at the Fermi level at 2.27 states/eV/f.u. The formation energy comes out at -0.798 eV per formula unit. The relative energy among the computed polymorphs is 0.178 eV/atom. Its total magnetization is 0.000 μB/atom. The value obtained for the volume is 62.3 Å³/f.u.

Cell and atoms, written as CIF:
```
data_LiGa2Ru
_cell_length_a 2.936
_cell_length_b 2.936
_cell_length_c 8.513
_cell_angle_alpha 80.07
_cell_angle_beta 80.07
_cell_angle_gamma 60.00
_symmetry_space_group_name_H-M 'P 1'
_symmetry_Int_Tables_number 1
_symmetry_space_group_name_Hall 'P 1'
loop_
_atom_site_label
_atom_site_type_symbol
_atom_site_fract_x
_atom_site_fract_y
_atom_site_fract_z
Li1 Li 0.501 0.501 0.498
Ga1 Ga 0.078 0.078 0.765
Ga2 Ga 0.255 0.255 0.236
Ru1 Ru 0.666 0.666 0.001
```